LiCoPO4 after structural relaxation, computed with GGA+U.

Cell: 9.1159 6.3833 4.9105 Å, 90.00 90.00 90.00°
With the nearest neighbours (Å) after each atom.
Space group Pnma (No. 62)
One atom of each set of equivalent atoms:
Li 0.1629 0.2500 0.0278 x4  4 O 2.05-2.21
Co 0.0000 0.0000 0.5000 x4  4 O 2.01-2.13
P 0.1790 0.7500 0.0271 x4  4 O 1.54-1.59
O 0.1191 0.5493 0.1619 x8  1 P 1.54
O 0.1373 0.7500 0.7183 x4  1 P 1.56
O 0.1492 0.2500 0.5784 x4  1 P 1.59

Results
**Offset from the most stable computed form**: 45.1 meV per atom
**Mass density**: 3739 kg/m3
**Size of the total moment**: 3.0 μB/f.u.